No. 1
Pm4SbTeS2 PBE optimized geometry; space group = No. 74; size of the total moment = 0.00 μB/f.u.; energy relative to the elements, uncorrected = -1.656 eV/atom
1.0
8.522 0.001 -0.074
-0.005 8.522 -0.074
-4.273 -4.276 6.099
Te S Pm Sb
2 4 8 2
Cartesian
4.244 4.247 5.951
2.122 2.123 2.976
-2.137 -2.138 3.050
2.124 -2.137 3.013
4.261 0.001 -0.037
-0.015 -0.015 6.025
-1.951 -2.104 5.895
6.195 6.351 0.056
4.292 4.447 2.771
2.316 6.351 0.030
4.294 -0.196 2.872
1.928 -2.104 5.921
-0.049 -0.200 3.180
-0.050 4.442 3.079
6.383 2.124 2.938
-0.002 4.261 -0.037

---

No. 2
Pm4SbTe2S PBE optimized geometry; space group = No. 10; size of the total moment = 0.00 μB/f.u.; energy relative to the elements, uncorrected = -1.509 eV/atom
1.0
-3.832 1.486 -1.350
-2.660 -0.464 7.044
3.072 6.970 -1.049
Pm Sb Te S
4 1 2 1
Cartesian
-1.915 2.205 0.933
1.666 5.328 1.136
-1.506 5.787 3.712
-1.254 1.178 4.858
0.000 0.000 0.000
0.206 3.253 2.997
-0.380 4.228 -1.200
-3.246 0.511 2.847

---

No. 3
Pm3Tl3SbS8 PBE optimized geometry; space group = No. 166; size of the total moment = 0.00 μB/f.u.; energy relative to the elements, uncorrected = -1.181 eV/atom
1.0
-4.191 -2.125 -6.689
-1.030 -4.160 6.964
-3.512 8.218 -0.412
Pm Tl S Sb
3 3 8 1
Cartesian
-2.271 2.029 3.276
-4.367 0.967 -0.068
-3.852 3.047 -3.550
-2.611 -3.142 0.138
0.000 0.000 0.000
-0.515 -2.080 3.482
-2.708 -0.331 1.802
-4.365 1.184 4.999
-4.369 0.750 -5.135
-2.155 1.873 -1.601
-6.026 2.265 -1.938
-4.913 -1.449 -1.455
-3.821 3.383 1.319
-6.579 0.061 1.464
-1.756 4.109 -0.206

---

Per-record VASP energy, eV/atom: -5.971 -5.701 -5.081
Per-record V, Å³ per atom: 27.3 29.7 29.3
Per-record N(E_F), states/eV/atom: 0.416 0.462 0.175